Record 1
Entry from the Alexandria database: a geometry-optimized TlHgAs structure (PBE).

It has space group P-6m2 (No. 187), with a = 5.1753 Å, b = 5.1753 Å, c = 3.2917 Å, α = 90.00°, β = 90.00° and γ = 120.00°. The inequivalent atoms are Tl at (0.0000, 0.0000, 0.0000), Hg at (0.6667, 0.3333, 0.5000) and As at (0.3333, 0.6667, 0.5000).

The calculated formation energy comes out at 164 meV/atom.


Record 2
Entry from the Alexandria database: a geometry-optimized TlHg2As structure (PBE).

It has space group P4mm (No. 99), with a = 3.448 Å, b = 3.448 Å, c = 8.822 Å, α = 90.00°, β = 90.00° and γ = 90.00°. The inequivalent atoms are Tl at (0.000, 0.000, 0.000), Hg at (0.000, 0.000, 0.456), Hg at (0.500, 0.500, 0.704) and As at (0.500, 0.500, 0.244).

The calculated formation energy comes out at 175 meV/atom. The calculation puts the energy above the most stable polymorph in this dataset at 0.059 eV/atom.


Record 3
Entry from the Alexandria database: a geometry-optimized TlHgAs2 structure (PBE).

It has space group P4/mmm (No. 123), with a = 3.886 Å, b = 3.886 Å, c = 6.881 Å, α = 90.00°, β = 90.00° and γ = 90.00°. The inequivalent atoms are Tl at (0.000, 0.000, 0.000), Hg at (0.000, 0.000, 0.500) and As at (0.500, 0.500, 0.322).

The calculated formation energy comes out at 229 meV/atom. The calculation puts the energy above the most stable polymorph in this dataset at 0.219 eV/atom.


Record 4
Entry from the Alexandria database: a geometry-optimized Tl5Hg4As structure (PBE).

It has space group C2/m (No. 12), with a = 18.268 Å, b = 3.570 Å, c = 9.230 Å, α = 90.00°, β = 95.78° and γ = 90.00°. The inequivalent atoms are Tl at (0.000, 0.000, 0.000), Tl at (0.126, 0.500, 0.388), Tl at (0.171, 0.500, 0.028), Hg at (0.059, 0.500, 0.740), Hg at (0.201, 0.000, 0.685) and As at (0.000, 0.000, 0.500).

The calculated formation energy comes out at 51 meV/atom.


Record 5
Entry from the Alexandria database: a geometry-optimized Tl8Hg5As structure (PBE).

It has space group I-4 (No. 82), with a = 9.373 Å, b = 9.373 Å, c = 9.689 Å, α = 90.00°, β = 90.00° and γ = 90.00°. The inequivalent atoms are Tl at (0.065, 0.313, 0.433), Tl at (0.080, 0.177, 0.765), Hg at (0.000, 0.500, 0.750), Hg at (0.110, 0.228, 0.100) and As at (0.000, 0.000, 0.500).

The calculated formation energy comes out at -1 meV/atom.


Record 6
Entry from the Alexandria database: a geometry-optimized Tl4Hg3As structure (PBE).

It has space group Pmn2_1 (No. 31), with a = 12.091 Å, b = 7.067 Å, c = 5.492 Å, α = 90.00°, β = 90.00° and γ = 90.00°. The inequivalent atoms are Tl at (0.000, 0.035, 0.000), Tl at (0.000, 0.739, 0.501), Tl at (0.228, 0.140, 0.496), Hg at (0.000, 0.506, 0.001), Hg at (0.246, 0.384, 0.996) and As at (0.000, 0.276, 0.500).

The calculated formation energy comes out at 30 meV/atom.


Which of these has the highest calculated formation energy?
TlHgAs2


calculated formation energy of number 6 (Tl4Hg3As)?
30 meV/atom


Which value of calculated formation energy does entry 5 give?
-1 meV/atom